First-principles (PBE) data for a geometry-optimized ZrAgO2F structure, as listed in the Alexandria database.

The structure in POSCAR format:
```
ZrAgO2F
1.0
4.158 0.000 0.000
0.000 4.158 0.000
0.000 0.000 4.244
O Zr Ag F
2 1 1 1
Direct
0.000 0.500 0.000
0.500 0.000 0.000
0.000 0.000 0.000
0.500 0.500 0.500
0.000 0.000 0.500
```

Formation energy from raw total energies = -2.24 eV/atom
Theoretical density = 5.66 g/cm3
Calculated volume = 14.7 Å³/atom
Space group = No. 123